# LiCoHSO5 (GGA+U, optimized geometry)
data_LiCoHSO5
_cell_length_a 5.466
_cell_length_b 7.442
_cell_length_c 9.880
_cell_angle_alpha 69.39
_cell_angle_beta 90.00
_cell_angle_gamma 90.00
_symmetry_space_group_name_H-M 'P 1'
_symmetry_Int_Tables_number 1
_symmetry_space_group_name_Hall 'P 1'
loop_
_atom_site_label
_atom_site_type_symbol
_atom_site_fract_x
_atom_site_fract_y
_atom_site_fract_z
_atom_site_occupancy
O1 O 0.057 0.300 0.243 1
Li1 Li 0.438 0.690 0.086 1
O2 O 0.550 0.040 0.350 1
Co1 Co 0.735 0.376 0.555 1
O3 O 0.082 0.639 0.097 1
Li2 Li 0.562 0.310 0.914 1
O4 O 0.450 0.960 0.650 1
S1 S 0.442 0.007 0.786 1
O5 O 0.050 0.460 0.650 1
O6 O 0.315 0.511 0.831 1
Co2 Co 0.265 0.624 0.445 1
O7 O 0.185 0.011 0.831 1
O8 O 0.582 0.861 0.903 1
Li3 Li 0.062 0.190 0.086 1
O9 O 0.815 0.989 0.169 1
S2 S 0.058 0.507 0.786 1
O10 O 0.067 0.870 0.434 1
O11 O 0.933 0.130 0.566 1
H1 H 0.501 0.405 0.336 1
H2 H 0.001 0.095 0.664 1
O12 O 0.943 0.700 0.757 1
O13 O 0.918 0.361 0.903 1
Co3 Co 0.765 0.876 0.555 1
O14 O 0.418 0.139 0.097 1
O15 O 0.567 0.630 0.566 1
H3 H 0.499 0.595 0.664 1
O16 O 0.950 0.540 0.350 1
S3 S 0.942 0.493 0.214 1
O17 O 0.685 0.489 0.169 1
O18 O 0.433 0.370 0.434 1
Li4 Li 0.938 0.810 0.914 1
S4 S 0.558 0.993 0.214 1
O19 O 0.443 0.800 0.243 1
H4 H 0.999 0.905 0.336 1
Co4 Co 0.235 0.124 0.445 1
O20 O 0.557 0.200 0.757 1
# **E**: -210.55 eV for the cell shown
# **Volume**: 376.2 Å³ per cell